# 1
Material: NbCo6Mo
Method: DFT, PBE
State: optimized geometry

It has space group Pmm2 (No. 25), with a = 4.101 Å, b = 5.121 Å, c = 4.486 Å, α = 90.00°, β = 90.00° and γ = 90.00°. The distinct sites, in fractional coordinates, are Nb at (0.000, 0.000, 0.000), Co at (0.000, 0.252, 0.496), Co at (0.000, 0.500, 0.977), Co at (0.500, 0.000, 0.355), Co at (0.500, 0.259, 0.817) and Mo at (0.500, 0.500, 0.316).

As for the total energy: -8.018 eV per atom. The calculated density is 9.6 g cm⁻³. The total moment is 2.666 μB per formula unit.

***

# 2
Material: Cs2PdBr2F2
Method: DFT, PBE
State: optimized geometry

It has space group Pmm2 (No. 25), with a = 4.184 Å, b = 7.026 Å, c = 6.986 Å, α = 90.00°, β = 90.00° and γ = 90.00°. The distinct sites, in fractional coordinates, are Cs at (0.000, 0.000, 0.000), Cs at (0.000, 0.500, 0.324), Pd at (0.500, 0.500, 0.883), Br at (0.500, 0.249, 0.649) and F at (0.500, 0.295, 0.095).

As for the total energy: -3.652 eV per atom. The calculated density is 4.6 g cm⁻³.

***

# 3
Material: ScInFeS3
Method: DFT, PBE
State: optimized geometry

It has space group Cmcm (No. 63), with a = 3.761 Å, b = 13.973 Å, c = 9.864 Å, α = 90.00°, β = 90.00° and γ = 90.00°. The distinct sites, in fractional coordinates, are Sc at (0.000, 0.000, 0.000), In at (0.000, 0.252, 0.250), Fe at (0.000, 0.466, 0.750), S at (0.000, 0.063, 0.750) and S at (0.000, 0.378, 0.558).

As for the total energy: -5.893 eV per atom. The calculated density is 4.0 g cm⁻³. The total moment is 3.943 μB per formula unit.

***

# 4
Material: Nd3Ni2Pt7
Method: DFT, PBE
State: optimized geometry

It has space group R-3m (No. 166, hexagonal axes), with a = 5.4408 Å, b = 5.4408 Å, c = 25.9034 Å, α = 90.00°, β = 90.00° and γ = 120.00°. The distinct sites, in fractional coordinates, are Nd at (0.0000, 0.0000, 0.0000), Nd at (0.0000, 0.0000, 0.1390), Ni at (0.0000, 0.0000, 0.3330), Pt at (0.0000, 0.0000, 0.5000) and Pt at (0.0029, 0.5014, 0.9202).

As for the total energy: -6.493 eV per atom. The calculated density is 14.4 g cm⁻³. The total moment is 1.039 μB per formula unit.

***

# 5
Material: PmTmOs
Method: DFT, PBE
State: optimized geometry

It has space group F-43m (No. 216), with a = 6.683 Å, b = 6.683 Å, c = 6.683 Å, α = 90.00°, β = 90.00° and γ = 90.00°. The distinct sites, in fractional coordinates, are Pm at (0.000, 0.000, 0.000), Tm at (0.250, 0.250, 0.750) and Os at (0.000, 0.000, 0.500).

As for the total energy: -6.151 eV per atom. The calculated density is 11.2 g cm⁻³. The total moment is 0.002 μB per formula unit.

***

# 6
Material: Li2HgGeS4
Method: DFT, PBE
State: optimized geometry

It has space group Pmn2_1 (No. 31), with a = 7.816 Å, b = 6.861 Å, c = 6.470 Å, α = 90.00°, β = 90.00° and γ = 90.00°. The distinct sites, in fractional coordinates, are Li at (0.246, 0.171, 0.000), Hg at (0.000, 0.352, 0.499), Ge at (0.000, 0.674, 0.999), S at (0.000, 0.362, 0.899), S at (0.000, 0.697, 0.344) and S at (0.227, 0.835, 0.875).

As for the total energy: -3.886 eV per atom. The calculated density is 4.0 g cm⁻³.